# NaFe2O4 | Alexandria | PBE with a Hubbard U | relaxed
data_NaFe2O4
_cell_length_a 4.9696
_cell_length_b 5.7635
_cell_length_c 11.3699
_cell_angle_alpha 90.23
_cell_angle_beta 90.20
_cell_angle_gamma 90.51
_space_group_name_H-M_alt 'P 1'
_space_group_IT_number 1
_space_group_name_Hall 'P 1'
loop_
_atom_site_label
_atom_site_type_symbol
_atom_site_fract_x
_atom_site_fract_y
_atom_site_fract_z
_atom_site_occupancy
Na1 Na 0.0000 0.0000 0.0000 1
Na2 Na 0.0634 0.5036 0.4988 1
Na3 Na 0.3886 0.5035 0.9984 1
Na4 Na 0.6736 0.0047 0.4993 1
Fe1 Fe 0.0263 0.5039 0.7534 1
Fe2 Fe 0.0282 0.5035 0.2448 1
Fe3 Fe 0.0322 0.0035 0.2533 1
Fe4 Fe 0.0327 0.0054 0.7449 1
Fe5 Fe 0.5279 0.7527 0.7491 1
Fe6 Fe 0.5292 0.2534 0.7484 1
Fe7 Fe 0.5302 0.2535 0.2490 1
Fe8 Fe 0.5302 0.7535 0.2491 1
O1 O 0.1891 0.2446 0.8387 1
O2 O 0.2000 0.7613 0.8395 1
O3 O 0.2045 0.2507 0.1594 1
O4 O 0.2046 0.7555 0.1594 1
O5 O 0.3616 0.5097 0.6635 1
O6 O 0.3628 0.9983 0.6588 1
O7 O 0.3643 0.5036 0.3358 1
O8 O 0.3736 0.0036 0.3389 1
O9 O 0.6868 0.5036 0.1591 1
O10 O 0.6908 0.5064 0.8382 1
O11 O 0.6961 0.0033 0.1622 1
O12 O 0.7008 0.9989 0.8344 1
O13 O 0.8559 0.2564 0.3385 1
O14 O 0.8559 0.7513 0.3386 1
O15 O 0.8638 0.7578 0.6592 1
O16 O 0.8648 0.2530 0.6584 1
# **Offset from the most stable computed form**: 0.2304 eV/atom
# **Theoretical density**: 4.052 g/cm3